[1]
The following is a PBE calculation of a geometry-optimized K3Ca2TcO6 structure, from Alexandria via LeMat-Bulk.

Lattice parameters (Å, degrees): 5.8599 10.1419 6.4327 90.00 107.78 90.00
Space group C2/m (No. 12)
Symmetry-distinct sites (fractional):
K 0.0000 0.0000 0.0000 x2
K 0.0000 0.3330 0.0000 x4
Ca 0.0000 0.1666 0.5000 x4
Tc 0.0000 0.5000 0.5000 x2
O 0.2066 0.3552 0.6845 x8
O 0.2276 0.5000 0.3157 x4

Summary:
Formation energy without anion corrections   -1.970 eV per atom
Total magnetization   2.00 μB per formula unit

---

[2]
The following is a PBE calculation of a geometry-optimized K2CaTcO6 structure, from Alexandria via LeMat-Bulk.

Lattice parameters (Å, degrees): 6.2578 6.2578 5.9088 90.00 90.00 120.00
Space group P-3m1 (No. 164)
Symmetry-distinct sites (fractional):
K 0.3333 0.6667 0.3962 x2
Ca 0.0000 0.0000 0.0000 x1
Tc 0.0000 0.0000 0.5000 x1
O 0.1400 0.2801 0.6930 x6

Summary:
Formation energy without anion corrections   -1.572 eV per atom
Total magnetization   1.04 μB per formula unit

---

[3]
The following is a PBE calculation of a geometry-optimized KCaTcO4 structure, from Alexandria via LeMat-Bulk.

Lattice parameters (Å, degrees): 6.1174 6.0236 7.2995 90.00 106.72 90.00
Space group P2_1/m (No. 11)
Symmetry-distinct sites (fractional):
K 0.2255 0.2500 0.4396 x2
Ca 0.3187 0.2500 0.9590 x2
Tc 0.2175 0.7500 0.1632 x2
O 0.0222 0.7500 0.9228 x2
O 0.0362 0.7500 0.3220 x2
O 0.4425 0.5282 0.1883 x4

Summary:
Formation energy without anion corrections   -1.893 eV per atom
Total magnetization   2.00 μB per formula unit

---

[4]
The following is a PBE calculation of a geometry-optimized K3CaTc2O9 structure, from Alexandria via LeMat-Bulk.

Lattice parameters (Å, degrees): 5.7714 5.7714 7.2398 90.00 90.00 120.00
Space group P-3m1 (No. 164)
Symmetry-distinct sites (fractional):
K 0.0000 0.0000 0.0000 x1
K 0.3333 0.6667 0.6776 x2
Ca 0.0000 0.0000 0.5000 x1
Tc 0.3333 0.6667 0.1640 x2
O 0.0000 0.5000 0.0000 x3
O 0.1800 0.3601 0.3030 x6

Summary:
Formation energy without anion corrections   -1.745 eV per atom
Total magnetization   0.00 μB per formula unit

---

[5]
The following is a PBE calculation of a geometry-optimized KCaTeO4 structure, from Alexandria via LeMat-Bulk.

Lattice parameters (Å, degrees): 6.7324 7.1248 9.6662 90.00 90.00 90.00
Space group Imma (No. 74)
Symmetry-distinct sites (fractional):
K 0.2500 0.2500 0.2500 x4
Ca 0.0000 0.0000 0.0000 x4
Te 0.0000 0.2500 0.6246 x4
O 0.0000 0.0389 0.7446 x8
O 0.2381 0.2500 0.9791 x8

Summary:
Formation energy without anion corrections   -1.631 eV per atom
Total magnetization   0.71 μB per formula unit

---

[6]
The following is a PBE calculation of a geometry-optimized K3CaTe2O6 structure, from Alexandria via LeMat-Bulk.

Lattice parameters (Å, degrees): 6.1164 6.1164 7.1323 90.00 90.00 120.00
Space group P-3m1 (No. 164)
Symmetry-distinct sites (fractional):
K 0.0000 0.0000 0.0000 x1
K 0.3333 0.6667 0.6447 x2
Ca 0.0000 0.0000 0.5000 x1
Te 0.3333 0.6667 0.1652 x2
O 0.1776 0.3553 0.3007 x6

Summary:
Formation energy without anion corrections   -1.618 eV per atom
Total magnetization   1.02 μB per formula unit

---

[7]
The following is a PBE calculation of a geometry-optimized K2CaTe2O6 structure, from Alexandria via LeMat-Bulk.

Lattice parameters (Å, degrees): 9.5309 6.3095 7.4363 90.00 111.78 90.00
Space group C2/m (No. 12)
Symmetry-distinct sites (fractional):
K 0.1968 0.0000 0.1332 x4
Ca 0.0000 0.0000 0.5000 x2
Te 0.0898 0.5000 0.2486 x4
O 0.0359 0.2648 0.7532 x8
O 0.2464 0.5000 0.4905 x4

Summary:
Formation energy without anion corrections   -1.654 eV per atom
Total magnetization   0.00 μB per formula unit

---

[8]
The following is a PBE calculation of a geometry-optimized K2CaTeO4 structure, from Alexandria via LeMat-Bulk.

Lattice parameters (Å, degrees): 7.0790 7.2497 10.0708 90.00 90.00 90.00
Space group Imma (No. 74)
Symmetry-distinct sites (fractional):
K 0.0000 0.0000 0.0000 x4
K 0.2500 0.2500 0.2500 x4
Ca 0.0000 0.0000 0.5000 x4
Te 0.2500 0.2500 0.7500 x4
O 0.0000 0.0401 0.7394 x8
O 0.2227 0.2500 0.5337 x8

Summary:
Formation energy without anion corrections   -1.642 eV per atom
Total magnetization   0.00 μB per formula unit